No. 1
{
  "formula": "NbCd2Pt2",
  "functional": "PBE",
  "state": "optimized geometry",
  "cell": [[6.783, 0.000, 0.000], [0.000, 6.783, 0.000], [0.000, 0.000, 4.209]],
  "species": ["Nb", "Nb", "Pt", "Pt", "Pt", "Pt", "Cd", "Cd", "Cd", "Cd"],
  "fractional_positions": [[0.000, 0.000, 0.000], [0.500, 0.500, 0.000], [0.863, 0.637, 0.000], [0.637, 0.137, 0.000], [0.137, 0.363, 0.000], [0.363, 0.863, 0.000], [0.832, 0.332, 0.500], [0.168, 0.668, 0.500], [0.332, 0.168, 0.500], [0.668, 0.832, 0.500]],
  "dft_energy_ev_per_fu": -24.78,
  "magmom_total_mub_per_fu": 0.000,
  "vol_a3_per_cell": 193.7,
  "space_group": "P4/mbm, No. 127"
}

---

No. 2
{
  "formula": "BaCo2Os",
  "functional": "PBE",
  "state": "optimized geometry",
  "cell": [[5.457, -0.142, -0.039], [1.516, 5.244, 0.039], [-2.580, -3.790, 2.963]],
  "species": ["Os", "Ba", "Co", "Co"],
  "fractional_positions": [[0.750, 0.250, 0.500], [0.250, 0.750, 0.500], [0.925, 0.925, 0.000], [0.575, 0.575, 0.000]],
  "dft_energy_ev_per_fu": -23.20,
  "magmom_total_mub_per_fu": 0.000,
  "vol_a3_per_cell": 86.0,
  "space_group": "Immm, No. 71"
}

---

No. 3
{
  "formula": "LiBeSb2Te",
  "functional": "PBE",
  "state": "optimized geometry",
  "cell": [[4.842, 0.000, 0.000], [0.000, 4.842, 0.000], [0.000, 0.000, 5.563]],
  "species": ["Be", "Sb", "Sb", "Li", "Te"],
  "fractional_positions": [[0.000, 0.000, 0.000], [0.000, 0.500, 0.000], [0.500, 0.000, 0.000], [0.500, 0.500, 0.500], [0.000, 0.000, 0.500]],
  "dft_energy_ev_per_fu": -15.82,
  "magmom_total_mub_per_fu": 0.000,
  "formation_energy_uncorrected_mev_per_atom": 241,
  "vol_a3_per_cell": 130.4,
  "space_group": "P4/mmm, No. 123"
}

---

No. 4
{
  "formula": "LaIn7Ni5",
  "functional": "PBE",
  "state": "optimized geometry",
  "cell": [[5.458, 0.000, 0.000], [2.729, 6.649, -0.010], [2.729, -0.032, 6.649]],
  "species": ["In", "In", "In", "In", "In", "In", "In", "Ni", "Ni", "Ni", "Ni", "Ni", "La"],
  "fractional_positions": [[0.518, 0.783, 0.181], [0.979, 0.362, 0.680], [0.979, 0.680, 0.362], [0.271, 0.229, 0.229], [0.335, 0.665, 0.665], [0.656, 0.344, 0.344], [0.518, 0.181, 0.783], [0.009, 0.001, 0.496], [0.494, 0.496, 0.001], [0.009, 0.496, 0.001], [0.732, 0.768, 0.768], [0.494, 0.001, 0.496], [0.004, 0.996, 0.996]],
  "dft_energy_ev_per_fu": -55.39,
  "magmom_total_mub_per_fu": 0.000,
  "vol_a3_per_cell": 241.3,
  "space_group": "Imm2, No. 44"
}

---

No. 5
{
  "formula": "AgSeNO2",
  "functional": "PBE",
  "state": "optimized geometry",
  "cell": [[4.007, 0.000, 0.000], [0.000, 4.007, 0.000], [0.000, 0.000, 4.122]],
  "species": ["Ag", "N", "Se", "O", "O"],
  "fractional_positions": [[0.000, 0.000, 0.000], [0.000, 0.000, 0.500], [0.500, 0.500, 0.500], [0.000, 0.500, 0.000], [0.500, 0.000, 0.000]],
  "dft_energy_ev_per_fu": -17.64,
  "magmom_total_mub_per_fu": 0.383,
  "formation_energy_uncorrected_mev_per_atom": 1387,
  "vol_a3_per_cell": 66.2,
  "space_group": "P4/mmm, No. 123"
}

---

No. 6
{
  "formula": "Nd3CdPb3",
  "functional": "PBE",
  "state": "optimized geometry",
  "cell": [[-3.016, 0.040, -5.648], [-7.580, -4.073, 4.019], [0.700, 9.466, -0.307]],
  "species": ["Cd", "Cd", "Nd", "Nd", "Nd", "Nd", "Nd", "Nd", "Pb", "Pb", "Pb", "Pb", "Pb", "Pb"],
  "fractional_positions": [[0.250, 0.667, 0.333], [0.750, 0.333, 0.667], [0.750, 0.678, 0.626], [0.750, 0.949, 0.322], [0.250, 0.626, 0.949], [0.250, 0.051, 0.678], [0.250, 0.322, 0.374], [0.750, 0.374, 0.051], [0.750, 0.294, 0.337], [0.750, 0.663, 0.957], [0.750, 0.043, 0.706], [0.250, 0.957, 0.294], [0.250, 0.706, 0.663], [0.250, 0.337, 0.043]],
  "dft_energy_ev_per_fu": -28.32,
  "magmom_total_mub_per_fu": 0.000,
  "vol_a3_per_cell": 500.2,
  "space_group": "P6_3/m, No. 176"
}

---

No. 7
{
  "formula": "PaSnH6Ru3",
  "functional": "PBE",
  "state": "optimized geometry",
  "cell": [[4.901, 0.311, -0.312], [0.340, 4.899, 0.312], [-0.340, 0.342, 4.897]],
  "species": ["Ru", "Ru", "Ru", "H", "H", "H", "H", "H", "H", "Pa", "Sn"],
  "fractional_positions": [[0.495, 0.896, 0.104], [0.104, 0.896, 0.495], [0.104, 0.505, 0.104], [0.076, 0.296, 0.415], [0.077, 0.585, 0.705], [0.704, 0.585, 0.076], [0.415, 0.924, 0.704], [0.415, 0.295, 0.077], [0.705, 0.923, 0.415], [0.530, 0.470, 0.530], [0.945, 0.055, 0.945]],
  "dft_energy_ev_per_fu": -62.27,
  "magmom_total_mub_per_fu": 0.001,
  "vol_a3_per_cell": 115.9,
  "space_group": "R3m, No. 160"
}

---

No. 8
{
  "formula": "Si2AuC",
  "functional": "PBE",
  "state": "optimized geometry",
  "cell": [[-0.585, 3.095, -4.223], [-3.745, -3.217, -1.840], [-5.201, 2.260, -0.910]],
  "species": ["Si", "Si", "Si", "Si", "Au", "Au", "C", "C"],
  "fractional_positions": [[0.206, 0.625, 0.250], [0.375, 0.456, 0.750], [0.875, 0.794, 0.750], [0.544, 0.125, 0.250], [0.750, 0.250, 0.500], [0.000, 0.000, 0.000], [0.250, 0.750, 0.500], [0.500, 0.500, 0.000]],
  "dft_energy_ev_per_fu": -22.38,
  "magmom_total_mub_per_fu": 0.000,
  "formation_energy_uncorrected_mev_per_atom": 242,
  "vol_a3_per_cell": 121.3,
  "space_group": "I-42d, No. 122"
}

---

No. 9
{
  "formula": "Ac2In3HgPd4",
  "functional": "PBE",
  "state": "optimized geometry",
  "cell": [[4.786, 0.000, 0.000], [0.000, 4.786, 0.000], [0.000, 0.000, 10.605]],
  "species": ["Pd", "Pd", "Pd", "Pd", "In", "In", "In", "Ac", "Ac", "Hg"],
  "fractional_positions": [[0.500, 0.500, 0.000], [0.500, 0.000, 0.634], [0.000, 0.500, 0.366], [0.000, 0.000, 0.000], [0.500, 0.000, 0.884], [0.000, 0.500, 0.116], [0.000, 0.000, 0.500], [0.500, 0.000, 0.241], [0.000, 0.500, 0.759], [0.500, 0.500, 0.500]],
  "dft_energy_ev_per_fu": -43.76,
  "magmom_total_mub_per_fu": 0.000,
  "vol_a3_per_cell": 242.9,
  "space_group": "P-4m2, No. 115"
}

---

No. 10
{
  "formula": "Ta2MnW",
  "functional": "PBE",
  "state": "optimized geometry",
  "cell": [[-6.931, -5.586, 0.142], [-6.369, -5.437, 3.024], [-8.046, -3.389, 1.745]],
  "species": ["Ta", "Ta", "W", "Mn"],
  "fractional_positions": [[0.008, 0.008, 0.008], [0.248, 0.248, 0.248], [0.491, 0.491, 0.491], [0.752, 0.752, 0.752]],
  "dft_energy_ev_per_fu": -44.68,
  "magmom_total_mub_per_fu": 0.608,
  "vol_a3_per_cell": 65.4,
  "space_group": "R3m, No. 160"
}

---

No. 11
{
  "formula": "Na3InP",
  "functional": "PBE",
  "state": "optimized geometry",
  "cell": [[-4.392, -1.761, 2.647], [3.179, -2.464, 3.636], [0.022, 4.497, 3.028]],
  "species": ["Na", "Na", "Na", "In", "P"],
  "fractional_positions": [[0.500, 0.000, 0.000], [0.000, 0.000, 0.500], [0.000, 0.500, 0.000], [0.500, 0.500, 0.500], [0.000, 0.000, 0.000]],
  "dft_energy_ev_per_fu": -12.09,
  "magmom_total_mub_per_fu": 0.000,
  "vol_a3_per_cell": 159.4,
  "space_group": "Pm-3m, No. 221"
}

---

No. 12
{
  "formula": "Mg2ScSi",
  "functional": "PBE",
  "state": "optimized geometry",
  "cell": [[-2.040, -0.868, -2.380], [0.142, -3.958, 1.322], [-4.604, 1.028, 3.573]],
  "species": ["Si", "Mg", "Mg", "Sc"],
  "fractional_positions": [[0.500, 0.500, 0.750], [0.000, 0.000, 0.513], [0.000, 0.000, 0.987], [0.500, 0.500, 0.250]],
  "dft_energy_ev_per_fu": -14.99,
  "magmom_total_mub_per_fu": 0.000,
  "formation_energy_uncorrected_mev_per_atom": -12,
  "vol_a3_per_cell": 80.4,
  "space_group": "Pmmm, No. 47"
}

---

No. 13
{
  "formula": "Cd2Au3",
  "functional": "PBE",
  "state": "optimized geometry",
  "cell": [[3.072, 0.000, 0.000], [-1.536, 11.773, -0.007], [1.536, -0.199, 2.653]],
  "species": ["Au", "Au", "Au", "Cd", "Cd"],
  "fractional_positions": [[0.000, 0.001, 0.000], [0.400, 0.199, 0.400], [0.200, 0.600, 0.200], [0.800, 0.399, 0.800], [0.600, 0.801, 0.600]],
  "dft_energy_ev_per_fu": -12.01,
  "magmom_total_mub_per_fu": 0.000,
  "vol_a3_per_cell": 96.0,
  "space_group": "R-3m, No. 166"
}

---

No. 14
{
  "formula": "Pr3Ga2Pd3",
  "functional": "PBE",
  "state": "optimized geometry",
  "cell": [[-4.099, 1.741, -0.424], [0.230, -5.646, -1.807], [-3.327, -4.509, 13.661]],
  "species": ["Ga", "Ga", "Ga", "Ga", "Pr", "Pr", "Pr", "Pr", "Pr", "Pr", "Pd", "Pd", "Pd", "Pd", "Pd", "Pd"],
  "fractional_positions": [[0.211, 0.422, 0.094], [0.211, 0.422, 0.406], [0.789, 0.578, 0.906], [0.789, 0.578, 0.594], [0.370, 0.740, 0.750], [0.916, 0.832, 0.105], [0.916, 0.832, 0.395], [0.084, 0.168, 0.605], [0.630, 0.260, 0.250], [0.084, 0.168, 0.895], [0.617, 0.235, 0.458], [0.617, 0.235, 0.042], [0.331, 0.662, 0.250], [0.383, 0.765, 0.958], [0.383, 0.765, 0.542], [0.669, 0.338, 0.750]],
  "dft_energy_ev_per_fu": -42.22,
  "magmom_total_mub_per_fu": 0.000,
  "vol_a3_per_cell": 362.9,
  "space_group": "Cmcm, No. 63"
}

---

No. 15
{
  "formula": "EuScTl",
  "functional": "PBE",
  "state": "optimized geometry",
  "cell": [[3.774, 0.000, 0.000], [0.000, 5.187, 0.000], [0.000, -2.594, 4.492]],
  "species": ["Sc", "Tl", "Eu"],
  "fractional_positions": [[0.167, 0.667, 0.333], [0.166, 0.000, 0.000], [0.667, 0.333, 0.667]],
  "dft_energy_ev_per_fu": -19.41,
  "magmom_total_mub_per_fu": 7.253,
  "vol_a3_per_cell": 87.9,
  "space_group": "P-6m2, No. 187"
}

---

No. 16
{
  "formula": "SmTmPd4",
  "functional": "PBE",
  "state": "optimized geometry",
  "cell": [[-3.958, 2.945, -2.328], [-5.191, -1.640, 0.357], [-3.528, 2.768, 3.107]],
  "species": ["Pd", "Pd", "Pd", "Pd", "Tm", "Sm"],
  "fractional_positions": [[0.124, 0.625, 0.625], [0.625, 0.625, 0.625], [0.625, 0.625, 0.124], [0.625, 0.124, 0.625], [0.000, 0.000, 0.000], [0.250, 0.250, 0.250]],
  "dft_energy_ev_per_fu": -34.78,
  "magmom_total_mub_per_fu": 0.000,
  "vol_a3_per_cell": 114.8,
  "space_group": "F-43m, No. 216"
}

---

No. 17
{
  "formula": "Ba5La3S8",
  "functional": "PBE",
  "state": "optimized geometry",
  "cell": [[-5.590, -6.476, -1.776], [-5.662, -2.677, 6.092], [-8.585, 1.773, -0.935]],
  "species": ["La", "La", "La", "Ba", "Ba", "Ba", "Ba", "Ba", "S", "S", "S", "S", "S", "S", "S", "S"],
  "fractional_positions": [[0.500, 0.000, 0.500], [0.000, 0.000, 0.500], [0.000, 0.500, 0.500], [0.500, 0.500, 0.500], [0.000, 0.500, 0.000], [0.000, 0.000, 0.000], [0.500, 0.500, 0.000], [0.500, 0.000, 0.000], [0.759, 0.759, 0.723], [0.771, 0.250, 0.729], [0.750, 0.229, 0.271], [0.250, 0.250, 0.729], [0.250, 0.771, 0.729], [0.750, 0.750, 0.271], [0.229, 0.750, 0.271], [0.241, 0.241, 0.277]],
  "dft_energy_ev_per_fu": -90.64,
  "magmom_total_mub_per_fu": 0.000,
  "formation_energy_uncorrected_mev_per_atom": -2076,
  "vol_a3_per_cell": 478.0,
  "space_group": "R-3m, No. 166"
}

---

No. 18
{
  "formula": "CaTa2Tc",
  "functional": "PBE",
  "state": "optimized geometry",
  "cell": [[-1.817, 0.486, -3.902], [2.055, -1.930, -1.197], [-2.925, -5.960, 0.619]],
  "species": ["Tc", "Ta", "Ta", "Ca"],
  "fractional_positions": [[0.000, 0.538, 0.429], [0.000, 0.955, 0.072], [0.500, 0.302, 0.263], [0.500, 0.706, 0.736]],
  "dft_energy_ev_per_fu": -34.65,
  "magmom_total_mub_per_fu": 0.000,
  "vol_a3_per_cell": 86.0,
  "space_group": "Pm, No. 6"
}

---

No. 19
{
  "formula": "TbEr2InC",
  "functional": "PBE",
  "state": "optimized geometry",
  "cell": [[-4.327, 0.300, -2.388], [-2.367, -0.623, 4.210], [-0.045, 4.821, 0.688]],
  "species": ["Er", "Er", "C", "Tb", "In"],
  "fractional_positions": [[0.000, 0.500, 0.000], [0.000, 0.000, 0.500], [0.000, 0.000, 0.000], [0.500, 0.000, 0.000], [0.500, 0.500, 0.500]],
  "dft_energy_ev_per_fu": -28.31,
  "magmom_total_mub_per_fu": 0.000,
  "vol_a3_per_cell": 117.5,
  "space_group": "P4/mmm, No. 123"
}

---

No. 20
{
  "formula": "YEr2Th",
  "functional": "PBE",
  "state": "optimized geometry",
  "cell": [[3.559, 0.000, 0.000], [1.779, 3.082, 0.000], [1.779, 1.027, 11.477]],
  "species": ["Y", "Th", "Er", "Er"],
  "fractional_positions": [[0.500, 0.500, 0.500], [0.000, 0.000, 0.000], [0.251, 0.251, 0.246], [0.749, 0.749, 0.754]],
  "dft_energy_ev_per_fu": -22.92,
  "magmom_total_mub_per_fu": 0.000,
  "vol_a3_per_cell": 125.9,
  "space_group": "R-3m, No. 166"
}

---

No. 21
{
  "formula": "Ce2ThTl",
  "functional": "PBE",
  "state": "optimized geometry",
  "cell": [[-3.606, -1.951, 1.962], [-0.290, -2.825, -3.343], [8.436, -6.607, 4.851]],
  "species": ["Tl", "Tl", "Ce", "Ce", "Ce", "Ce", "Th", "Th"],
  "fractional_positions": [[0.177, 0.250, 0.319], [0.823, 0.750, 0.681], [0.393, 0.750, 0.887], [0.607, 0.250, 0.113], [0.004, 0.250, 0.888], [0.996, 0.750, 0.112], [0.702, 0.750, 0.399], [0.298, 0.250, 0.601]],
  "dft_energy_ev_per_fu": -21.83,
  "magmom_total_mub_per_fu": 0.000,
  "vol_a3_per_cell": 231.8,
  "space_group": "P2_1/m, No. 11"
}

---

No. 22
{
  "formula": "TmNpHg2",
  "functional": "PBE",
  "state": "optimized geometry",
  "cell": [[3.345, 0.000, 0.000], [0.000, 3.345, 0.000], [0.000, 0.000, 8.771]],
  "species": ["Tm", "Hg", "Hg", "Np"],
  "fractional_positions": [[0.500, 0.500, 0.000], [0.000, 0.000, 0.763], [0.000, 0.000, 0.237], [0.500, 0.500, 0.500]],
  "dft_energy_ev_per_fu": -18.25,
  "magmom_total_mub_per_fu": 4.449,
  "vol_a3_per_cell": 98.1,
  "space_group": "P4/mmm, No. 123"
}

---

No. 23
{
  "formula": "LiAc2Nd2Au4",
  "functional": "PBE",
  "state": "optimized geometry",
  "cell": [[6.784, 0.292, 0.421], [-3.001, 6.091, -0.421], [-3.001, -2.534, 5.555]],
  "species": ["Au", "Au", "Au", "Au", "Li", "Nd", "Nd", "Ac", "Ac"],
  "fractional_positions": [[0.000, 0.242, 0.758], [0.517, 0.758, 0.758], [0.483, 0.242, 0.242], [0.000, 0.758, 0.242], [0.000, 0.000, 0.000], [0.000, 0.320, 0.320], [0.000, 0.680, 0.680], [0.500, 0.750, 0.250], [0.500, 0.250, 0.750]],
  "dft_energy_ev_per_fu": -37.84,
  "magmom_total_mub_per_fu": 0.000,
  "vol_a3_per_cell": 238.5,
  "space_group": "I4/mmm, No. 139"
}

---

No. 24
{
  "formula": "PmPrErMg",
  "functional": "PBE",
  "state": "optimized geometry",
  "cell": [[3.689, 0.000, 0.000], [0.000, 3.689, 0.000], [0.000, 0.000, 9.153]],
  "species": ["Pr", "Pm", "Er", "Mg"],
  "fractional_positions": [[0.000, 0.000, 0.077], [0.500, 0.500, 0.797], [0.500, 0.500, 0.346], [0.000, 0.000, 0.564]],
  "dft_energy_ev_per_fu": -15.80,
  "magmom_total_mub_per_fu": 0.000,
  "vol_a3_per_cell": 124.6,
  "space_group": "P4mm, No. 99"
}

---

No. 25
{
  "formula": "Tb4Pm3Tm4",
  "functional": "PBE",
  "state": "optimized geometry",
  "cell": [[-2.071, 0.306, -2.783], [1.023, -5.369, -1.352], [-14.552, -7.695, 7.803]],
  "species": ["Tb", "Tb", "Tb", "Tb", "Pm", "Pm", "Pm", "Tm", "Tm", "Tm", "Tm"],
  "fractional_positions": [[0.409, 0.909, 0.182], [0.267, 0.266, 0.467], [0.733, 0.734, 0.533], [0.591, 0.091, 0.818], [0.863, 0.363, 0.273], [0.137, 0.637, 0.727], [0.000, 0.000, 0.000], [0.318, 0.819, 0.363], [0.546, 0.546, 0.909], [0.682, 0.181, 0.637], [0.454, 0.454, 0.091]],
  "dft_energy_ev_per_fu": -50.00,
  "magmom_total_mub_per_fu": 0.000,
  "vol_a3_per_cell": 351.2,
  "space_group": "Immm, No. 71"
}